1.
VASP calculation (PBE) on a geometry-optimized BaRe structure.

The space group is P-3m1 (No. 164) and the conventional cell measures 4.1671, 4.1671 and 9.9418 Å, with angles of 90.00, 90.00 and 120.00 degrees. Symmetry generates all atoms from Ba at (0.3333, 0.6667, 0.2103) and Re at (0.3333, 0.6667, 0.5233).

The calculation puts the offset from the most stable computed form at 0.252 eV/atom. The value obtained for the formation energy from the elements is 656 meV per atom. The volume comes out at 149.51 Å³ per cell.

***

2.
VASP calculation (PBE) on a geometry-optimized Ba3Re4 structure.

The space group is I4/mmm (No. 139) and the conventional cell measures 3.289, 3.289 and 33.679 Å, with angles of 90.00, 90.00 and 90.00 degrees. Symmetry generates all atoms from Ba at (0.000, 0.000, 0.000), Ba at (0.000, 0.000, 0.311), Re at (0.000, 0.000, 0.113) and Re at (0.000, 0.000, 0.419).

The value obtained for the formation energy from the elements is 681 meV per atom. The volume comes out at 364.37 Å³ per cell.

***

3.
VASP calculation (PBE) on a geometry-optimized BaRe structure.

The space group is Pnma (No. 62) and the conventional cell measures 9.873, 3.942 and 6.608 Å, with angles of 90.00, 90.00 and 90.00 degrees. Symmetry generates all atoms from Ba at (0.180, 0.250, 0.105) and Re at (0.031, 0.250, 0.589).

The calculation puts the offset from the most stable computed form at 0.332 eV/atom. The value obtained for the formation energy from the elements is 736 meV per atom. The volume comes out at 257.22 Å³ per cell.